Entry 1:
{
  "formula": "Nd2Sm2C2I5",
  "functional": "PBE-GGA",
  "state": "optimized geometry",
  "cell": [[-0.4340, -1.8543, 10.0768], [-3.6496, -3.8804, 8.7631], [5.2259, -6.3856, -2.9427]],
  "species": ["Nd", "Nd", "Sm", "C", "I", "Sm", "I", "C", "I", "I", "I"],
  "frac_coords": [[0.6521, 0.6521, 0.5806], [0.3479, 0.3479, 0.4194], [0.0002, 0.0002, 0.6876], [0.5357, 0.5357, 0.5177], [0.8399, 0.8399, 0.1411], [0.9998, 0.9998, 0.3124], [0.8337, 0.8337, 0.6917], [0.4643, 0.4643, 0.4824], [0.5000, 0.5000, 0.0000], [0.1663, 0.1663, 0.3083], [0.1601, 0.1601, 0.8589]],
  "mass_density_g_cm3": 6.007,
  "e_tot_ev_per_atom": -5.169,
  "polymorph_energy_mev_per_atom": 24,
  "sg": "C2/m, No. 12"
}

=====

Entry 2:
{
  "formula": "Nd2DyBi3",
  "functional": "PBE-GGA",
  "state": "optimized geometry",
  "cell": [[-2.0478, 3.8484, -1.2621], [-0.6300, -1.6388, 4.1850], [8.7791, 5.8572, 3.6154]],
  "species": ["Dy", "Nd", "Nd", "Bi", "Bi", "Bi"],
  "frac_coords": [[0.0000, 0.0000, 0.5000], [0.6667, 0.3333, 0.1710], [0.3333, 0.6667, 0.8290], [0.6667, 0.3333, 0.6593], [0.0000, 0.0000, 0.0000], [0.3333, 0.6667, 0.3407]],
  "mass_density_g_cm3": 8.995,
  "e_tot_ev_per_atom": -5.312,
  "sg": "P-3m1, No. 164"
}

=====

Entry 3:
{
  "formula": "NaNi2S3",
  "functional": "PBE-GGA",
  "state": "optimized geometry",
  "cell": [[-4.2897, 4.8687, -0.6794], [1.9712, -6.0248, -1.5441], [-5.1290, -3.5176, 7.1770]],
  "species": ["S", "Ni", "Na", "Ni", "S", "Ni", "S", "S", "S", "S", "Na", "Ni"],
  "frac_coords": [[0.1210, 0.8790, 0.0372], [0.0530, 0.9470, 0.2500], [0.7579, 0.2421, 0.2500], [0.9470, 0.0530, 0.7500], [0.4462, 0.5538, 0.2500], [0.5000, 0.5000, 0.5000], [0.8790, 0.1210, 0.5372], [0.8790, 0.1210, 0.9628], [0.5538, 0.4462, 0.7500], [0.1210, 0.8790, 0.4628], [0.2421, 0.7579, 0.7500], [0.5000, 0.5000, 0.0000]],
  "mass_density_g_cm3": 3.848,
  "e_tot_ev_per_atom": -4.559,
  "polymorph_energy_mev_per_atom": 25,
  "sg": "Cmcm, No. 63"
}

=====

Entry 4:
{
  "formula": "HoEr2Al3Si2Ir",
  "functional": "PBE-GGA",
  "state": "optimized geometry",
  "cell": [[4.2034, 0.0000, 0.0000], [0.0000, 5.9489, 3.4320], [0.0000, -5.9489, 3.4320]],
  "species": ["Al", "Al", "Si", "Si", "Al", "Ho", "Er", "Er", "Ir"],
  "frac_coords": [[0.5000, 0.0002, 0.7659], [0.5000, 0.2340, 0.2340], [0.5000, 0.3328, 0.6670], [0.5000, 0.6670, 0.3328], [0.5000, 0.7659, 0.0002], [0.0000, 0.5835, 0.5835], [0.0000, 0.9998, 0.4159], [0.0000, 0.4159, 0.9998], [0.0000, 0.0009, 0.0009]],
  "mass_density_g_cm3": 8.018,
  "e_tot_ev_per_atom": -5.830,
  "sg": "Amm2, No. 38"
}

=====

Entry 5:
{
  "formula": "NaAlMoOs",
  "functional": "PBE-GGA",
  "state": "optimized geometry",
  "cell": [[0.5966, -4.3745, 0.4651], [1.7153, -1.6189, 3.7611], [-2.5636, -2.3049, 2.7972]],
  "species": ["Mo", "Al", "Na", "Os"],
  "frac_coords": [[0.2500, 0.2500, 0.2500], [0.0000, 0.0000, 0.0000], [0.7500, 0.7500, 0.7500], [0.5000, 0.5000, 0.5000]],
  "mass_density_g_cm3": 9.022,
  "e_tot_ev_per_atom": -6.399,
  "polymorph_energy_mev_per_atom": 181,
  "sg": "F-43m, No. 216"
}

=====

Entry 6:
{
  "formula": "NaGe5Mo3",
  "functional": "PBE-GGA",
  "state": "optimized geometry",
  "cell": [[-0.6187, -1.5695, -5.1878], [4.8928, 1.6084, 1.7981], [1.4351, -6.3080, 1.7373]],
  "species": ["Ge", "Ge", "Ge", "Na", "Mo", "Ge", "Mo", "Ge", "Mo"],
  "frac_coords": [[0.3333, 0.6667, 0.1872], [0.3333, 0.6667, 0.8128], [0.0000, 0.0000, 0.5000], [0.0000, 0.0000, 0.0000], [0.5000, 0.0000, 0.5000], [0.6667, 0.3333, 0.8128], [0.5000, 0.5000, 0.5000], [0.6667, 0.3333, 0.1872], [0.0000, 0.5000, 0.5000]],
  "mass_density_g_cm3": 6.483,
  "e_tot_ev_per_atom": -6.265,
  "sg": "P6/mmm, No. 191"
}